Record 1
VASP calculation (PBE) on an optimized crystal structure of Gd2YCd.

Cell lengths 3.6193, 3.6193, 9.1608 Å; angles 90.00, 90.00, 90.00 degrees
Last column: nearest neighbours and their distance in Å.
Fractional coordinates of all 4 atoms:
Y  0.5000  0.5000  0.5000  8 Gd 3.58, 4 Y 3.62
Gd  0.0000  0.0000  0.7736  4 Cd 3.29, 4 Y 3.58, 4 Gd 3.62
Gd  0.0000  0.0000  0.2264  4 Cd 3.29, 4 Y 3.58, 4 Gd 3.62
Cd  0.5000  0.5000  0.0000  8 Gd 3.29, 4 Cd 3.62

Energy: -9.0289 eV per atom
Energy of formation from the pure elements: -0.1437 eV/atom

---

Record 2
VASP calculation (PBE) on an optimized crystal structure of Gd2YCd.

Cell lengths 3.4940, 3.4940, 12.3597 Å; angles 81.87, 81.87, 60.00 degrees
Last column: nearest neighbours and their distance in Å.
Fractional coordinates of all 4 atoms:
Y  0.5000  0.5000  0.5000  6 Y 3.49, 6 Gd 3.50
Cd  0.0000  0.0000  0.0000  2 Gd 3.24, 6 Cd 3.49
Gd  0.9115  0.9115  0.2656  1 Cd 3.24, 6 Gd 3.49, 3 Y 3.50
Gd  0.0885  0.0885  0.7344  1 Cd 3.24, 6 Gd 3.49, 3 Y 3.50

Energy: -8.7205 eV per atom
Energy of formation from the pure elements: 0.1648 eV/atom

---

Record 3
VASP calculation (PBE) on an optimized crystal structure of GdZn2Cd.

Cell lengths 4.1322, 4.5738, 4.5738 Å; angles 90.00, 90.00, 90.00 degrees
Last column: nearest neighbours and their distance in Å.
Fractional coordinates of all 4 atoms:
Gd  0.5000  0.5000  0.5000  8 Zn 3.08, 4 Cd 3.23
Zn  0.0000  0.5000  0.0000  4 Gd 3.08, 4 Cd 3.08, 4 Zn 3.23
Zn  0.0000  0.0000  0.5000  4 Gd 3.08, 4 Cd 3.08, 4 Zn 3.23
Cd  0.5000  0.0000  0.0000  8 Zn 3.08, 4 Gd 3.23

Energy: -4.5787 eV per atom
Energy of formation from the pure elements: -0.1927 eV/atom

---

Record 4
VASP calculation (PBE) on an optimized crystal structure of Gd2ZnCd.

Cell lengths 5.2338, 5.2338, 5.2338 Å; angles 60.00, 60.00, 60.00 degrees
Last column: nearest neighbours and their distance in Å.
Fractional coordinates of all 4 atoms:
Gd  0.2500  0.2500  0.2500  4 Zn 3.21, 4 Cd 3.21
Gd  0.7500  0.7500  0.7500  4 Cd 3.21, 4 Zn 3.21
Zn  0.5000  0.5000  0.5000  8 Gd 3.21
Cd  0.0000  0.0000  0.0000  8 Gd 3.21

Energy: -7.9176 eV per atom
Energy of formation from the pure elements: -0.3299 eV/atom

---

Record 5
VASP calculation (PBE) on an optimized crystal structure of GdZn2Cd.

Cell lengths 4.8498, 4.8498, 4.8498 Å; angles 60.00, 60.00, 60.00 degrees
Last column: nearest neighbours and their distance in Å.
Fractional coordinates of all 4 atoms:
Zn  0.7500  0.7500  0.7500  4 Gd 2.97, 4 Cd 2.97
Zn  0.2500  0.2500  0.2500  4 Cd 2.97, 4 Gd 2.97
Cd  0.5000  0.5000  0.5000  8 Zn 2.97
Gd  0.0000  0.0000  0.0000  8 Zn 2.97

Energy: -4.6893 eV per atom
Energy of formation from the pure elements: -0.3033 eV/atom

---

Record 6
VASP calculation (PBE) on an optimized crystal structure of Gd2ZnCd.

Cell lengths 3.6499, 3.6499, 7.5629 Å; angles 90.00, 90.00, 90.00 degrees
Last column: nearest neighbours and their distance in Å.
Fractional coordinates of all 4 atoms:
Zn  0.5000  0.5000  0.0000  8 Gd 3.12
Gd  0.0000  0.0000  0.7680  4 Zn 3.12, 4 Cd 3.28
Gd  0.0000  0.0000  0.2320  4 Zn 3.12, 4 Cd 3.28
Cd  0.5000  0.5000  0.5000  8 Gd 3.28, 4 Cd 3.65

Energy: -7.9341 eV per atom
Energy of formation from the pure elements: -0.3464 eV/atom

---

Record 7
VASP calculation (PBE) on an optimized crystal structure of Gd2ZnCd.

Cell lengths 3.6657, 3.6657, 9.6184 Å; angles 79.01, 79.01, 60.00 degrees
Last column: nearest neighbours and their distance in Å.
Fractional coordinates of all 4 atoms:
Gd  0.7440  0.7440  0.7681  3 Zn 3.04, 3 Cd 3.29
Gd  0.2560  0.2560  0.2319  3 Zn 3.04, 3 Cd 3.29
Cd  0.5000  0.5000  0.5000  6 Gd 3.29, 6 Cd 3.67
Zn  0.0000  0.0000  0.0000  6 Gd 3.04

Energy: -7.7360 eV per atom
Energy of formation from the pure elements: -0.1483 eV/atom

---

Record 8
VASP calculation (PBE) on an optimized crystal structure of GdZn2Cd.

Cell lengths 3.3944, 3.3944, 7.2589 Å; angles 90.00, 90.00, 90.00 degrees
Last column: nearest neighbours and their distance in Å.
Fractional coordinates of all 4 atoms:
Cd  0.5000  0.5000  0.0000  8 Zn 2.92
Gd  0.5000  0.5000  0.5000  8 Zn 3.10, 4 Gd 3.39
Zn  0.0000  0.0000  0.7710  4 Cd 2.92, 4 Gd 3.10
Zn  0.0000  0.0000  0.2290  4 Cd 2.92, 4 Gd 3.10

Energy: -4.5559 eV per atom
Energy of formation from the pure elements: -0.1699 eV/atom

---

Record 9
VASP calculation (PBE) on an optimized crystal structure of GdZr2Cd.

Cell lengths 3.1316, 3.1316, 11.8288 Å; angles 82.39, 82.39, 60.00 degrees
Last column: nearest neighbours and their distance in Å.
Fractional coordinates of all 4 atoms:
Gd  0.0000  0.0000  0.0000  6 Gd 3.13, 2 Zr 3.21
Cd  0.5000  0.5000  0.5000  6 Cd 3.13, 6 Zr 3.19
Zr  0.9084  0.9084  0.2748  6 Zr 3.13, 3 Cd 3.19, 1 Gd 3.21
Zr  0.0916  0.0916  0.7252  6 Zr 3.13, 3 Cd 3.19, 1 Gd 3.21

Energy: -7.7737 eV per atom
Energy of formation from the pure elements: 0.2494 eV/atom

---

Record 10
VASP calculation (PBE) on an optimized crystal structure of GdZr2Cd.

Cell lengths 4.5992, 4.5764, 4.5764 Å; angles 90.00, 90.00, 90.00 degrees
Last column: nearest neighbours and their distance in Å.
Fractional coordinates of all 4 atoms:
Zr  0.0000  0.5000  0.0000  4 Zr 3.24, 4 Cd 3.24, 4 Gd 3.24
Zr  0.0000  0.0000  0.5000  4 Zr 3.24, 4 Cd 3.24, 4 Gd 3.24
Gd  0.5000  0.0000  0.0000  4 Cd 3.24, 8 Zr 3.24
Cd  0.5000  0.5000  0.5000  4 Gd 3.24, 8 Zr 3.24

Energy: -8.0172 eV per atom
Energy of formation from the pure elements: 0.0059 eV/atom

---

Record 11
VASP calculation (PBE) on an optimized crystal structure of Cd3Ge2.

Cell lengths 6.0989, 6.0989, 8.5214 Å; angles 69.03, 69.03, 60.00 degrees
Last column: nearest neighbours and their distance in Å.
Fractional coordinates of all 10 atoms:
Cd  0.7500  0.3914  0.7500  4 Ge 2.78-2.90
Cd  0.2500  0.6086  0.2500  4 Ge 2.78-2.90
Cd  0.3914  0.1086  0.7500  4 Ge 2.78-2.90
Cd  0.1086  0.7500  0.7500  4 Ge 2.78-2.90
Cd  0.8914  0.2500  0.2500  4 Ge 2.78-2.90
Cd  0.6086  0.8914  0.2500  4 Ge 2.78-2.90
Ge  0.6681  0.6681  0.9956  6 Cd 2.78-2.90
Ge  0.1681  0.1681  0.4956  6 Cd 2.78-2.90
Ge  0.3319  0.3319  0.0044  6 Cd 2.78-2.90
Ge  0.8319  0.8319  0.5044  6 Cd 2.78-2.90

Energy: -2.1400 eV per atom
Energy of formation from the pure elements: 0.2560 eV/atom

---

Record 12
VASP calculation (PBE) on an optimized crystal structure of Cd5Ge.

Cell lengths 4.4805, 4.4427, 7.0199 Å; angles 108.45, 90.00, 90.00 degrees
Last column: nearest neighbours and their distance in Å.
Fractional coordinates of all 6 atoms:
Ge  0.0000  0.0000  0.0000  12 Cd 3.13-3.15
Cd  0.0000  0.6656  0.3313  2 Ge 3.13, 10 Cd 3.14-3.18
Cd  0.5000  0.1653  0.3305  10 Cd 3.13-3.18, 2 Ge 3.14
Cd  0.5000  0.5000  0.0000  8 Cd 3.13-3.14, 4 Ge 3.15
Cd  0.5000  0.8347  0.6695  10 Cd 3.13-3.18, 2 Ge 3.14
Cd  0.0000  0.3344  0.6687  2 Ge 3.13, 10 Cd 3.14-3.18

Energy: -1.4450 eV per atom
Energy of formation from the pure elements: 0.0871 eV/atom

---

Record 13
VASP calculation (PBE) on an optimized crystal structure of CdGe3.

Cell lengths 5.9561, 5.9561, 5.4180 Å; angles 90.00, 90.00, 120.00 degrees
Last column: nearest neighbours and their distance in Å.
Fractional coordinates of all 8 atoms:
Ge  0.1593  0.3186  0.2500  8 Ge 2.85-3.17, 2 Cd 2.98
Ge  0.1593  0.8407  0.2500  8 Ge 2.85-3.17, 2 Cd 2.98
Ge  0.6814  0.8407  0.2500  8 Ge 2.85-3.17, 2 Cd 2.98
Ge  0.8407  0.1593  0.7500  8 Ge 2.85-3.17, 2 Cd 2.98
Ge  0.3186  0.1593  0.7500  8 Ge 2.85-3.17, 2 Cd 2.98
Ge  0.8407  0.6814  0.7500  8 Ge 2.85-3.17, 2 Cd 2.98
Cd  0.6667  0.3333  0.2500  12 Ge 2.98-3.25
Cd  0.3333  0.6667  0.7500  12 Ge 2.98-3.25

Energy: -3.3966 eV per atom
Energy of formation from the pure elements: 0.2952 eV/atom

---

Record 14
VASP calculation (PBE) on an optimized crystal structure of CdGe2.

Cell lengths 5.6557, 5.6557, 5.6557 Å; angles 60.00, 60.00, 60.00 degrees
Last column: nearest neighbours and their distance in Å.
Fractional coordinates of all 6 atoms:
Cd  0.2500  0.2500  0.2500  12 Ge 3.32, 4 Cd 3.46
Cd  0.0000  0.0000  0.0000  12 Ge 3.32, 4 Cd 3.46
Ge  0.6250  0.6250  0.1250  6 Ge 2.83
Ge  0.6250  0.6250  0.6250  6 Ge 2.83
Ge  0.6250  0.1250  0.6250  6 Ge 2.83
Ge  0.1250  0.6250  0.6250  6 Ge 2.83

Energy: -3.0814 eV per atom
Energy of formation from the pure elements: 0.3019 eV/atom